[1]
{"formula": "TbSm3Th", "functional": "PBE", "state": "optimized geometry", "sg": "P-1, No. 2", "density_g_cm3": 8.35, "magmom_total_mub_per_fu": 0.000, "ef_ev_per_atom": 0.053, "de_polymorph_ev_per_atom": 0.000, "dos_at_fermi_per_ev_atom": 1.6855, "lattice": [[6.3050, 0.0000, 0.0000], [3.1465, 6.1162, 0.0000], [0.0040, 3.3942, 8.6826]], "species": ["Tb", "Tb", "Sm", "Sm", "Sm", "Sm", "Sm", "Sm", "Th", "Th"], "fractional_positions": [[0.1325, 0.4084, 0.3485], [0.8675, 0.5916, 0.6515], [0.0542, 0.2043, 0.0549], [0.2749, 0.7975, 0.4583], [0.3423, 0.9975, 0.7600], [0.6577, 0.0025, 0.2400], [0.7251, 0.2025, 0.5417], [0.9458, 0.7957, 0.9451], [0.4771, 0.4033, 0.8482], [0.5229, 0.5967, 0.1518]]}



[2]
{"formula": "Tb4SmTh4", "functional": "PBE", "state": "optimized geometry", "sg": "I4/mmm, No. 139", "density_g_cm3": 9.79, "magmom_total_mub_per_fu": 0.000, "ef_ev_per_atom": 0.041, "dos_at_fermi_per_ev_atom": 1.4743, "lattice": [[-5.3638, 5.3638, 2.5277], [5.3638, -5.3638, 2.5277], [5.3638, 5.3638, -2.5277]], "species": ["Tb", "Tb", "Tb", "Tb", "Sm", "Th", "Th", "Th", "Th"], "fractional_positions": [[0.1696, 0.1696, 0.3392], [0.1696, 0.8304, 0.0000], [0.8304, 0.1696, 0.0000], [0.8304, 0.8304, 0.6608], [0.5000, 0.5000, 0.0000], [0.1638, 0.5000, 0.6638], [0.5000, 0.1638, 0.6638], [0.5000, 0.8362, 0.3362], [0.8362, 0.5000, 0.3362]]}



[3]
{"formula": "Tb3Sm7Th2", "functional": "PBE", "state": "optimized geometry", "sg": "Cmmm, No. 65", "density_g_cm3": 8.19, "magmom_total_mub_per_fu": 0.000, "ef_ev_per_atom": 0.142, "dos_at_fermi_per_ev_atom": 1.5308, "lattice": [[2.8918, -19.3403, 0.0000], [2.8918, 19.3403, 0.0000], [0.0000, 0.0000, 3.6121]], "species": ["Tb", "Tb", "Tb", "Sm", "Sm", "Sm", "Sm", "Sm", "Sm", "Sm", "Th", "Th"], "fractional_positions": [[0.0000, 0.0000, 0.0000], [0.3150, 0.6850, 0.5000], [0.6850, 0.3150, 0.5000], [0.0719, 0.9281, 0.5000], [0.2293, 0.7707, 0.0000], [0.4089, 0.5911, 0.0000], [0.5000, 0.5000, 0.5000], [0.5911, 0.4089, 0.0000], [0.7707, 0.2293, 0.0000], [0.9281, 0.0719, 0.5000], [0.1475, 0.8525, 0.0000], [0.8525, 0.1475, 0.0000]]}



[4]
{"formula": "Tb2SmTh2", "functional": "PBE", "state": "optimized geometry", "sg": "Fddd, No. 70", "density_g_cm3": 9.06, "magmom_total_mub_per_fu": 0.000, "ef_ev_per_atom": 0.451, "de_polymorph_ev_per_atom": 0.434, "dos_at_fermi_per_ev_atom": 1.6095, "lattice": [[0.0000, 8.4270, 11.6048], [1.7475, 0.0000, 11.6048], [1.7475, 8.4270, 0.0000]], "species": ["Tb", "Tb", "Tb", "Tb", "Sm", "Sm", "Th", "Th", "Th", "Th"], "fractional_positions": [[0.0449, 0.7051, 0.0449], [0.2949, 0.9551, 0.2949], [0.7051, 0.0449, 0.7051], [0.9551, 0.2949, 0.9551], [0.3750, 0.3750, 0.3750], [0.6250, 0.6250, 0.6250], [0.0000, 0.5000, 0.5000], [0.5000, 0.0000, 0.5000], [0.5000, 0.5000, 0.0000], [0.5000, 0.5000, 0.5000]]}



[5]
{"formula": "Tb3SmTh2", "functional": "PBE", "state": "optimized geometry", "sg": "P-1, No. 2", "density_g_cm3": 9.25, "magmom_total_mub_per_fu": 0.000, "ef_ev_per_atom": 0.052, "de_polymorph_ev_per_atom": 0.000, "dos_at_fermi_per_ev_atom": 1.5890, "lattice": [[6.8314, 0.0000, 0.0000], [-3.0716, 6.1218, 0.0000], [-0.8962, -1.5050, 9.3661]], "species": ["Tb", "Tb", "Tb", "Tb", "Tb", "Tb", "Sm", "Sm", "Th", "Th", "Th", "Th"], "fractional_positions": [[0.0136, 0.2620, 0.0538], [0.3174, 0.0698, 0.2781], [0.3512, 0.6023, 0.3877], [0.6488, 0.3977, 0.6123], [0.6826, 0.9302, 0.7219], [0.9864, 0.7380, 0.9462], [0.1797, 0.4322, 0.7206], [0.8203, 0.5678, 0.2794], [0.1591, 0.9128, 0.6133], [0.4842, 0.2337, 0.9390], [0.5158, 0.7663, 0.0610], [0.8409, 0.0872, 0.3867]]}



[6]
{"formula": "Tb5Sm12Th2", "functional": "PBE", "state": "optimized geometry", "sg": "C2/m, No. 12", "density_g_cm3": 7.86, "magmom_total_mub_per_fu": 0.000, "ef_ev_per_atom": 0.153, "de_polymorph_ev_per_atom": 0.007, "dos_at_fermi_per_ev_atom": 1.5286, "lattice": [[11.1060, -3.5444, 0.0000], [11.1060, 3.5444, 0.0000], [-2.9178, 0.0000, 8.2190]], "species": ["Tb", "Tb", "Tb", "Tb", "Tb", "Sm", "Sm", "Sm", "Sm", "Sm", "Sm", "Sm", "Sm", "Sm", "Sm", "Sm", "Sm", "Th", "Th"], "fractional_positions": [[0.0000, 0.0000, 0.0000], [0.2492, 0.2492, 0.9934], [0.3508, 0.3508, 0.4043], [0.6492, 0.6492, 0.5957], [0.7508, 0.7508, 0.0066], [0.0527, 0.5464, 0.7065], [0.1422, 0.1422, 0.5641], [0.1484, 0.6372, 0.1132], [0.3628, 0.8516, 0.8868], [0.4534, 0.4534, 0.8008], [0.4536, 0.9473, 0.2935], [0.5464, 0.0527, 0.7065], [0.5466, 0.5466, 0.1992], [0.6372, 0.1484, 0.1132], [0.8516, 0.3628, 0.8868], [0.8578, 0.8578, 0.4359], [0.9473, 0.4536, 0.2935], [0.2495, 0.7505, 0.5000], [0.7505, 0.2495, 0.5000]]}



[7]
{"formula": "Tb12Sm7Th", "functional": "PBE", "state": "optimized geometry", "sg": "R-3, No. 148", "density_g_cm3": 7.90, "magmom_total_mub_per_fu": 0.001, "ef_ev_per_atom": 0.237, "de_polymorph_ev_per_atom": 0.000, "dos_at_fermi_per_ev_atom": 2.0114, "lattice": [[6.1603, 3.5566, 5.1063], [-6.1603, 3.5566, 5.1063], [0.0000, -7.1133, 5.1063]], "species": ["Tb", "Tb", "Tb", "Tb", "Tb", "Tb", "Tb", "Tb", "Tb", "Tb", "Tb", "Tb", "Sm", "Sm", "Sm", "Sm", "Sm", "Sm", "Sm", "Th"], "fractional_positions": [[0.0032, 0.6482, 0.1169], [0.1169, 0.0032, 0.6482], [0.2166, 0.6317, 0.7575], [0.2425, 0.7834, 0.3683], [0.3518, 0.8831, 0.9968], [0.3683, 0.2425, 0.7834], [0.6317, 0.7575, 0.2166], [0.6482, 0.1169, 0.0032], [0.7575, 0.2166, 0.6317], [0.7834, 0.3683, 0.2425], [0.8831, 0.9968, 0.3518], [0.9968, 0.3518, 0.8831], [0.0000, 0.0000, 0.0000], [0.1193, 0.3406, 0.4502], [0.3406, 0.4502, 0.1193], [0.4502, 0.1193, 0.3406], [0.5498, 0.8807, 0.6594], [0.6594, 0.5498, 0.8807], [0.8807, 0.6594, 0.5498], [0.5000, 0.5000, 0.5000]]}



[8]
{"formula": "Tb4Sm15Th", "functional": "PBE", "state": "optimized geometry", "sg": "P4/mmm, No. 123", "density_g_cm3": 7.76, "magmom_total_mub_per_fu": 0.000, "ef_ev_per_atom": 0.025, "dos_at_fermi_per_ev_atom": 1.4255, "lattice": [[5.1159, 0.0000, 0.0000], [0.0000, 5.1159, 0.0000], [0.0000, 0.0000, 25.5423]], "species": ["Tb", "Tb", "Tb", "Tb", "Sm", "Sm", "Sm", "Sm", "Sm", "Sm", "Sm", "Sm", "Sm", "Sm", "Sm", "Sm", "Sm", "Sm", "Sm", "Th"], "fractional_positions": [[0.0000, 0.0000, 0.0998], [0.0000, 0.0000, 0.2999], [0.0000, 0.0000, 0.7001], [0.0000, 0.0000, 0.9002], [0.0000, 0.5000, 0.0000], [0.0000, 0.5000, 0.2001], [0.0000, 0.5000, 0.4012], [0.0000, 0.5000, 0.5988], [0.0000, 0.5000, 0.7999], [0.5000, 0.0000, 0.0000], [0.5000, 0.0000, 0.2001], [0.5000, 0.0000, 0.4012], [0.5000, 0.0000, 0.5988], [0.5000, 0.0000, 0.7999], [0.5000, 0.5000, 0.0997], [0.5000, 0.5000, 0.2987], [0.5000, 0.5000, 0.5000], [0.5000, 0.5000, 0.7013], [0.5000, 0.5000, 0.9003], [0.0000, 0.0000, 0.5000]]}



[9]
{"formula": "Tb5SmTh", "functional": "PBE", "state": "optimized geometry", "sg": "C2/c, No. 15", "density_g_cm3": 8.46, "magmom_total_mub_per_fu": 0.000, "ef_ev_per_atom": 0.195, "dos_at_fermi_per_ev_atom": 1.5546, "lattice": [[3.0808, -8.8223, 0.0000], [3.0808, 8.8223, 0.0000], [-1.8541, 0.0000, 8.4986]], "species": ["Tb", "Tb", "Tb", "Tb", "Tb", "Tb", "Tb", "Tb", "Tb", "Tb", "Sm", "Sm", "Th", "Th"], "fractional_positions": [[0.0159, 0.3886, 0.6456], [0.1471, 0.8529, 0.7500], [0.2255, 0.5383, 0.0390], [0.3886, 0.0159, 0.1456], [0.4617, 0.7745, 0.4610], [0.5383, 0.2255, 0.5390], [0.6114, 0.9841, 0.8544], [0.7745, 0.4617, 0.9610], [0.8529, 0.1471, 0.2500], [0.9841, 0.6114, 0.3544], [0.4876, 0.5124, 0.7500], [0.5124, 0.4876, 0.2500], [0.0000, 0.0000, 0.0000], [0.0000, 0.0000, 0.5000]]}



[10]
{"formula": "TbSm3Th", "functional": "PBE", "state": "optimized geometry", "sg": "R-3m, No. 166", "density_g_cm3": 7.79, "magmom_total_mub_per_fu": 0.000, "ef_ev_per_atom": 0.305, "de_polymorph_ev_per_atom": 0.252, "dos_at_fermi_per_ev_atom": 1.6699, "lattice": [[3.4488, 1.9912, 8.7126], [-3.4488, 1.9912, 8.7126], [0.0000, -3.9823, 8.7126]], "species": ["Tb", "Tb", "Sm", "Sm", "Sm", "Sm", "Sm", "Sm", "Th", "Th"], "fractional_positions": [[0.1822, 0.1822, 0.1822], [0.8178, 0.8178, 0.8178], [0.2303, 0.2303, 0.7441], [0.2303, 0.7441, 0.2303], [0.2559, 0.7697, 0.7697], [0.7441, 0.2303, 0.2303], [0.7697, 0.2559, 0.7697], [0.7697, 0.7697, 0.2559], [0.3016, 0.3016, 0.3016], [0.6984, 0.6984, 0.6984]]}



[11]
{"formula": "TbSmTh3", "functional": "PBE", "state": "optimized geometry", "sg": "Imma, No. 74", "density_g_cm3": 9.41, "magmom_total_mub_per_fu": 0.000, "ef_ev_per_atom": 0.377, "dos_at_fermi_per_ev_atom": 1.8859, "lattice": [[-4.9865, 5.9171, 3.0061], [4.9865, -5.9171, 3.0061], [4.9865, 5.9171, -3.0061]], "species": ["Tb", "Tb", "Sm", "Sm", "Th", "Th", "Th", "Th", "Th", "Th"], "fractional_positions": [[0.4455, 0.1955, 0.2500], [0.5545, 0.8045, 0.7500], [0.0000, 0.0000, 0.5000], [0.0000, 0.5000, 0.0000], [0.0000, 0.1693, 0.1693], [0.0000, 0.5000, 0.5000], [0.0000, 0.8307, 0.8307], [0.5000, 0.1693, 0.6693], [0.5000, 0.5000, 0.0000], [0.5000, 0.8307, 0.3307]]}



[12]
{"formula": "Tb14SmTh", "functional": "PBE", "state": "optimized geometry", "sg": "P4/mmm, No. 123", "density_g_cm3": 8.43, "magmom_total_mub_per_fu": 0.000, "ef_ev_per_atom": 0.019, "dos_at_fermi_per_ev_atom": 1.2881, "lattice": [[7.1369, 0.0000, 0.0000], [0.0000, 7.1369, 0.0000], [0.0000, 0.0000, 10.0840]], "species": ["Tb", "Tb", "Tb", "Tb", "Tb", "Tb", "Tb", "Tb", "Tb", "Tb", "Tb", "Tb", "Tb", "Tb", "Sm", "Th"], "fractional_positions": [[0.0000, 0.0000, 0.0000], [0.0000, 0.5000, 0.0000], [0.0000, 0.5000, 0.5000], [0.2476, 0.2476, 0.2507], [0.2476, 0.2476, 0.7493], [0.2476, 0.7524, 0.2507], [0.2476, 0.7524, 0.7493], [0.5000, 0.0000, 0.0000], [0.5000, 0.0000, 0.5000], [0.5000, 0.5000, 0.0000], [0.7524, 0.2476, 0.2507], [0.7524, 0.2476, 0.7493], [0.7524, 0.7524, 0.2507], [0.7524, 0.7524, 0.7493], [0.5000, 0.5000, 0.5000], [0.0000, 0.0000, 0.5000]]}



[13]
{"formula": "TbSm8Th4", "functional": "PBE", "state": "optimized geometry", "sg": "R-3m, No. 166", "density_g_cm3": 7.79, "magmom_total_mub_per_fu": 0.000, "ef_ev_per_atom": 0.568, "dos_at_fermi_per_ev_atom": 1.7087, "lattice": [[5.6126, 3.2404, 4.4711], [-5.6126, 3.2404, 4.4711], [0.0000, -6.4809, 4.4711]], "species": ["Tb", "Sm", "Sm", "Sm", "Sm", "Sm", "Sm", "Sm", "Sm", "Th", "Th", "Th", "Th"], "fractional_positions": [[0.0000, 0.0000, 0.0000], [0.2528, 0.7356, 0.7356], [0.2613, 0.2613, 0.2613], [0.2644, 0.2644, 0.7472], [0.2644, 0.7472, 0.2644], [0.7356, 0.2528, 0.7356], [0.7356, 0.7356, 0.2528], [0.7387, 0.7387, 0.7387], [0.7472, 0.2644, 0.2644], [0.0000, 0.0000, 0.5000], [0.0000, 0.5000, 0.0000], [0.5000, 0.0000, 0.0000], [0.5000, 0.5000, 0.5000]]}



[14]
{"formula": "Tb2Sm7Th", "functional": "PBE", "state": "optimized geometry", "sg": "Immm, No. 71", "density_g_cm3": 7.41, "magmom_total_mub_per_fu": 0.000, "ef_ev_per_atom": 0.313, "dos_at_fermi_per_ev_atom": 1.5556, "lattice": [[-1.7951, 5.9173, 8.4500], [1.7951, -5.9173, 8.4500], [1.7951, 5.9173, -8.4500]], "species": ["Tb", "Tb", "Sm", "Sm", "Sm", "Sm", "Sm", "Sm", "Sm", "Th"], "fractional_positions": [[0.1651, 0.1651, 0.0000], [0.8349, 0.8349, 0.0000], [0.0997, 0.3512, 0.7485], [0.3287, 0.8287, 0.5000], [0.3973, 0.6488, 0.7485], [0.5000, 0.5000, 0.0000], [0.6027, 0.3512, 0.2515], [0.6713, 0.1713, 0.5000], [0.9003, 0.6488, 0.2515], [0.0000, 0.5000, 0.5000]]}



[15]
{"formula": "Tb6SmTh8", "functional": "PBE", "state": "optimized geometry", "sg": "P-3, No. 147", "density_g_cm3": 9.79, "magmom_total_mub_per_fu": 0.000, "ef_ev_per_atom": 0.239, "dos_at_fermi_per_ev_atom": 1.5250, "lattice": [[9.3099, 0.0000, 0.0000], [-4.6549, 8.0626, 0.0000], [0.0000, 0.0000, 6.6867]], "species": ["Tb", "Tb", "Tb", "Tb", "Tb", "Tb", "Sm", "Th", "Th", "Th", "Th", "Th", "Th", "Th", "Th"], "fractional_positions": [[0.0858, 0.6486, 0.3314], [0.3514, 0.4371, 0.3314], [0.4371, 0.0858, 0.6686], [0.5629, 0.9142, 0.3314], [0.6486, 0.5629, 0.6686], [0.9142, 0.3514, 0.6686], [0.0000, 0.0000, 0.5000], [0.0359, 0.7573, 0.8297], [0.2427, 0.2786, 0.8297], [0.2786, 0.0359, 0.1703], [0.3333, 0.6667, 0.8795], [0.6667, 0.3333, 0.1205], [0.7214, 0.9641, 0.8297], [0.7573, 0.7214, 0.1703], [0.9641, 0.2427, 0.1703]]}



[16]
{"formula": "Tb12Sm5Th2", "functional": "PBE", "state": "optimized geometry", "sg": "P-1, No. 2", "density_g_cm3": 8.27, "magmom_total_mub_per_fu": 0.000, "ef_ev_per_atom": 0.086, "de_polymorph_ev_per_atom": 0.000, "dos_at_fermi_per_ev_atom": 1.5050, "lattice": [[6.4217, 0.0000, 0.0000], [2.2125, 8.6640, 0.0000], [2.9446, 3.2559, 11.2668]], "species": ["Tb", "Tb", "Tb", "Tb", "Tb", "Tb", "Tb", "Tb", "Tb", "Tb", "Tb", "Tb", "Sm", "Sm", "Sm", "Sm", "Sm", "Th", "Th"], "fractional_positions": [[0.0418, 0.0649, 0.3392], [0.1561, 0.2692, 0.6851], [0.2407, 0.5532, 0.8064], [0.2527, 0.3814, 0.3697], [0.3746, 0.8029, 0.1820], [0.4261, 0.8630, 0.8347], [0.5739, 0.1370, 0.1653], [0.6254, 0.1971, 0.8180], [0.7473, 0.6186, 0.6303], [0.7593, 0.4468, 0.1936], [0.8439, 0.7308, 0.3149], [0.9582, 0.9351, 0.6608], [0.1347, 0.1636, 0.0142], [0.2908, 0.6735, 0.4897], [0.5000, 0.0000, 0.5000], [0.7092, 0.3265, 0.5103], [0.8653, 0.8364, 0.9858], [0.2651, 0.5386, 0.0851], [0.7349, 0.4614, 0.9149]]}



[17]
{"formula": "Tb7Sm3Th2", "functional": "PBE", "state": "optimized geometry", "sg": "P-1, No. 2", "density_g_cm3": 8.66, "magmom_total_mub_per_fu": 0.000, "ef_ev_per_atom": 0.025, "dos_at_fermi_per_ev_atom": 1.3410, "lattice": [[3.5900, 0.0000, 0.0000], [0.0011, 6.1990, 0.0000], [1.7828, 3.0484, 17.4637]], "species": ["Tb", "Tb", "Tb", "Tb", "Tb", "Tb", "Tb", "Sm", "Sm", "Sm", "Th", "Th"], "fractional_positions": [[0.0000, 0.0000, 0.0000], [0.0848, 0.4136, 0.8312], [0.2491, 0.2576, 0.5024], [0.4163, 0.0793, 0.1672], [0.5837, 0.9207, 0.8328], [0.7509, 0.7424, 0.4976], [0.9152, 0.5864, 0.1688], [0.1657, 0.8350, 0.6663], [0.5000, 0.5000, 0.0000], [0.8343, 0.1650, 0.3337], [0.3340, 0.6681, 0.3326], [0.6660, 0.3319, 0.6674]]}



[18]
{"formula": "Tb8SmTh2", "functional": "PBE", "state": "optimized geometry", "sg": "C2/m, No. 12", "density_g_cm3": 8.35, "magmom_total_mub_per_fu": 0.000, "ef_ev_per_atom": 0.191, "de_polymorph_ev_per_atom": 0.000, "dos_at_fermi_per_ev_atom": 1.5538, "lattice": [[9.5177, -3.5273, 0.0000], [9.5177, 3.5273, 0.0000], [-0.2243, 0.0000, 5.5867]], "species": ["Tb", "Tb", "Tb", "Tb", "Tb", "Tb", "Tb", "Tb", "Sm", "Th", "Th"], "fractional_positions": [[0.0472, 0.0472, 0.2376], [0.0982, 0.6380, 0.2626], [0.3170, 0.3170, 0.7679], [0.3620, 0.9018, 0.7374], [0.6380, 0.0982, 0.2626], [0.6830, 0.6830, 0.2321], [0.9018, 0.3620, 0.7374], [0.9528, 0.9528, 0.7624], [0.5000, 0.5000, 0.0000], [0.2179, 0.2179, 0.2628], [0.7821, 0.7821, 0.7372]]}



[19]
{"formula": "Tb8SmTh3", "functional": "PBE", "state": "optimized geometry", "sg": "Immm, No. 71", "density_g_cm3": 8.46, "magmom_total_mub_per_fu": 0.000, "ef_ev_per_atom": 0.381, "dos_at_fermi_per_ev_atom": 1.6688, "lattice": [[-3.1679, 5.7244, 5.7289], [3.1679, -5.7244, 5.7289], [3.1679, 5.7244, -5.7289]], "species": ["Tb", "Tb", "Tb", "Tb", "Tb", "Tb", "Tb", "Tb", "Sm", "Th", "Th", "Th"], "fractional_positions": [[0.0782, 0.8302, 0.2480], [0.2429, 0.5000, 0.2571], [0.2429, 0.9858, 0.7429], [0.4178, 0.1698, 0.2480], [0.5822, 0.8302, 0.7520], [0.7571, 0.0142, 0.2571], [0.7571, 0.5000, 0.7429], [0.9218, 0.1698, 0.7520], [0.5000, 0.0000, 0.5000], [0.0000, 0.0000, 0.0000], [0.2013, 0.5000, 0.7013], [0.7987, 0.5000, 0.2987]]}